Here is a relaxed SmHoZnAu crystal from Alexandria. Energies are from GGA-PBE.

It has space group F-43m (No. 216), with a = 7.237 Å, b = 7.237 Å, c = 7.237 Å, α = 90.00°, β = 90.00° and γ = 90.00°. The inequivalent atoms are Sm at (0.000, 0.000, 0.000), Ho at (0.000, 0.000, 0.500), Zn at (0.250, 0.250, 0.250) and Au at (0.250, 0.250, 0.750).

The value obtained for the formation enthalpy at 0 K is -0.572 eV per atom. The density of states at the Fermi level is 0.56 states/eV per atom. The energy above the lowest structure with this stoichiometry is 16 meV per atom. For the total energy, the calculation gives -0.1482 hartree per atom. The theoretical density comes out at 10.1 Mg/m³.